A plane-wave DFT calculation with GGA-PBE was carried out for a geometry-optimized LaCuPd2Cl structure.

Cell lengths 4.648, 5.539, 4.648 Å; angles 90.00, 90.00, 90.00 degrees
Fractional coordinates of all 5 atoms:
Pd 0.000 0.000 0.500
Cu 0.000 0.000 0.000
Cl 0.500 0.500 0.500
La 0.000 0.500 0.000
Pd 0.500 0.000 0.000

Results
The uncorrected formation energy comes out at -0.19 eV/atom. As for the energy relative to the lowest polymorph listed for this composition: 0.118 eV/atom.



A plane-wave DFT calculation with GGA-PBE was carried out for a geometry-optimized La4CuPtCl2 structure.

Cell lengths 4.267, 7.553, 7.365 Å; angles 70.96, 90.00, 90.00 degrees
Fractional coordinates of all 8 atoms:
La 0.000 0.270 0.242
Pt 0.500 0.500 0.000
Cu 0.000 0.500 0.500
La 0.500 0.265 0.750
Cl 0.500 0.000 0.500
La 0.500 0.735 0.250
Cl 0.000 0.000 0.000
La 0.000 0.730 0.758

Results
The uncorrected formation energy comes out at -1.12 eV/atom.



A plane-wave DFT calculation with GGA-PBE was carried out for a geometry-optimized La6CuPt2Cl3 structure.

Cell lengths 4.257, 8.825, 9.803 Å; angles 106.06, 102.54, 90.00 degrees
Fractional coordinates of all 12 atoms:
Pt 0.834 0.674 0.668
La 0.661 0.094 0.323
Cl 0.837 0.172 0.673
Cl 0.163 0.828 0.327
La 0.994 0.760 0.987
Cl 0.500 0.500 0.000
Cu 0.500 0.000 0.000
La 0.006 0.240 0.013
Pt 0.166 0.326 0.332
La 0.339 0.906 0.677
La 0.675 0.561 0.349
La 0.325 0.439 0.651

Results
The uncorrected formation energy comes out at -1.22 eV/atom.



A plane-wave DFT calculation with GGA-PBE was carried out for a geometry-optimized RbLaCuCl5 structure.

Cell lengths 7.593, 7.593, 10.395 Å; angles 103.29, 103.29, 106.78 degrees
Site moments in Bohr magnetons follow the coordinates.
Fractional coordinates of all 16 atoms:
La 0.000 0.000 0.000  0.00
Cl 0.313 0.904 0.621  0.00
Cl 0.612 0.757 0.918  0.00
Rb 0.353 0.647 0.250  0.00
Cl 0.388 0.243 0.082  0.00
Cl 0.096 0.687 0.879  0.00
Cl 0.757 0.612 0.418  0.00
Cl 0.243 0.388 0.582  0.00
Cl 0.687 0.096 0.379  0.00
Cu 0.311 0.689 0.750  0.13
Cl 0.913 0.087 0.750  0.00
Cu 0.689 0.311 0.250  0.13
Rb 0.647 0.353 0.750  0.00
Cl 0.087 0.913 0.250  0.00
La 0.000 0.000 0.500  0.00
Cl 0.904 0.313 0.121  0.00

Results
The uncorrected formation energy comes out at -1.78 eV/atom.



A plane-wave DFT calculation with GGA-PBE was carried out for a geometry-optimized Rb3LaCu2Cl9 structure.

Cell lengths 7.289, 7.289, 9.146 Å; angles 90.00, 90.00, 120.00 degrees
Site moments in Bohr magnetons follow the coordinates.
Fractional coordinates of all 15 atoms:
La 0.000 0.000 0.500  0.01
Cl 0.651 0.825 0.319  0.01
Cl 0.500 0.500 0.000  0.07
Rb 0.667 0.333 0.300  0.00
Cl 0.825 0.175 0.681  0.01
Cl 0.825 0.651 0.681  0.01
Cl 0.349 0.175 0.681  0.01
Cu 0.333 0.667 0.137  0.35
Cl 0.000 0.500 0.000  0.07
Cl 0.175 0.825 0.319  0.01
Cl 0.175 0.349 0.319  0.01
Cl 0.500 0.000 0.000  0.07
Rb 0.000 0.000 0.000  0.00
Rb 0.333 0.667 0.700  0.00
Cu 0.667 0.333 0.863  0.35

Results
The uncorrected formation energy comes out at -1.57 eV/atom.



A plane-wave DFT calculation with GGA-PBE was carried out for a geometry-optimized Rb2LaCuCl structure.

Cell lengths 5.793, 7.370, 5.793 Å; angles 90.00, 90.00, 90.00 degrees
Site moments in Bohr magnetons follow the coordinates.
Fractional coordinates of all 5 atoms:
Rb 0.000 0.000 0.500  0.01
La 0.500 0.500 0.500  0.43
Rb 0.500 0.000 0.000  0.00
Cl 0.000 0.000 0.000  0.00
Cu 0.000 0.500 0.000  -0.01

Results
The uncorrected formation energy comes out at 0.18 eV/atom.



A plane-wave DFT calculation with GGA-PBE was carried out for a geometry-optimized RbLaCu2Cl6 structure.

Cell lengths 8.612, 8.612, 8.930 Å; angles 99.87, 99.87, 109.34 degrees
Fractional coordinates of all 20 atoms:
Cl 0.520 0.096 0.230
Cu 0.628 0.911 0.277
Cl 0.785 0.805 0.407
Cu 0.089 0.372 0.223
Cl 0.575 0.350 0.928
Cl 0.904 0.480 0.270
Cl 0.650 0.425 0.572
Cl 0.096 0.520 0.730
Cu 0.372 0.089 0.723
Rb 0.868 0.132 0.750
Cl 0.195 0.215 0.093
Cl 0.480 0.904 0.770
Cu 0.911 0.628 0.777
Cl 0.805 0.785 0.907
La 0.556 0.444 0.250
La 0.444 0.556 0.750
Rb 0.132 0.868 0.250
Cl 0.425 0.650 0.072
Cl 0.215 0.195 0.593
Cl 0.350 0.575 0.428

Results
The uncorrected formation energy comes out at -1.51 eV/atom.



A plane-wave DFT calculation with GGA-PBE was carried out for a geometry-optimized LaCuRe2Cl structure.

Cell lengths 5.030, 5.407, 5.030 Å; angles 90.00, 90.00, 90.00 degrees
Site moments in Bohr magnetons follow the coordinates.
Fractional coordinates of all 5 atoms:
Re 0.500 0.000 0.000  1.80
Cu 0.500 0.500 0.500  0.03
La 0.000 0.000 0.000  0.01
Re 0.000 0.000 0.500  1.49
Cl 0.000 0.500 0.000  0.05

Results
The uncorrected formation energy comes out at 2.19 eV/atom.